Density functional theory data (GGA-PBE) for a relaxed Pr8Nd2Sm crystal.

Cell: 9.247 9.247 6.850 Å, 99.68 99.68 43.93°
Sites, in units of the cell vectors:
Pr1 0.092 0.092 0.914
Pr2 0.151 0.675 0.593
Pr3 0.255 0.255 0.681
Pr4 0.325 0.849 0.407
Pr5 0.675 0.151 0.593
Pr6 0.745 0.745 0.319
Pr7 0.849 0.325 0.407
Pr8 0.908 0.908 0.086
Nd1 0.303 0.303 0.190
Nd2 0.697 0.697 0.810
Sm1 0.500 0.500 0.000

The formation energy comes out at 0.148 eV per atom. The crystal system is monoclinic. The total energy comes out at -4.62 eV per atom. For the density of states at the Fermi level, the calculation gives 1.697 states/eV/atom. The value obtained for the energy above the most stable polymorph in this dataset is 0.18 eV per formula unit.

Density functional theory data (GGA-PBE) for a relaxed PrNdSm crystal.

Cell: 15.531 15.531 15.531 Å, 26.17 26.17 26.17°
Sites, in units of the cell vectors:
Pr1 0.238 0.238 0.688
Pr2 0.238 0.688 0.238
Pr3 0.312 0.762 0.762
Pr4 0.688 0.238 0.238
Pr5 0.762 0.312 0.762
Pr6 0.762 0.762 0.312
Nd1 0.238 0.238 0.238
Nd2 0.316 0.316 0.316
Nd3 0.461 0.461 0.461
Nd4 0.539 0.539 0.539
Nd5 0.684 0.684 0.684
Nd6 0.762 0.762 0.762
Sm1 0.000 0.000 0.000
Sm2 0.000 0.000 0.500
Sm3 0.000 0.500 0.000
Sm4 0.106 0.106 0.106
Sm5 0.500 0.000 0.000
Sm6 0.894 0.894 0.894

The formation energy comes out at 0.230 eV per atom. The crystal system is trigonal. The total energy comes out at -4.53 eV per atom. For the density of states at the Fermi level, the calculation gives 1.623 states/eV/atom. The value obtained for the energy above the most stable polymorph in this dataset is 0.66 eV per formula unit.

Density functional theory data (GGA-PBE) for a relaxed PrNd2Sm7 crystal.

Cell: 10.416 10.416 3.545 Å, 90.00 90.00 109.34°
Sites, in units of the cell vectors:
Pr1 0.000 0.000 0.000
Nd1 0.173 0.827 0.500
Nd2 0.827 0.173 0.500
Sm1 0.129 0.386 0.500
Sm2 0.327 0.673 0.000
Sm3 0.386 0.129 0.500
Sm4 0.500 0.500 0.500
Sm5 0.614 0.871 0.500
Sm6 0.673 0.327 0.000
Sm7 0.871 0.614 0.500

The formation energy comes out at 0.387 eV per atom. The crystal system is orthorhombic. The total energy comes out at -4.35 eV per atom. For the density of states at the Fermi level, the calculation gives 1.610 states/eV/atom. The value obtained for the energy above the most stable polymorph in this dataset is 0.00 eV per formula unit.

Density functional theory data (GGA-PBE) for a relaxed Pr12NdSm6 crystal.

Cell: 9.705 9.705 9.705 Å, 109.16 109.16 109.16°
Sites, in units of the cell vectors:
Pr1 0.000 0.393 0.607
Pr2 0.000 0.607 0.393
Pr3 0.118 0.118 0.324
Pr4 0.118 0.324 0.118
Pr5 0.324 0.118 0.118
Pr6 0.393 0.000 0.607
Pr7 0.393 0.607 0.000
Pr8 0.607 0.000 0.393
Pr9 0.607 0.393 0.000
Pr10 0.676 0.882 0.882
Pr11 0.882 0.676 0.882
Pr12 0.882 0.882 0.676
Nd1 0.500 0.500 0.500
Sm1 0.171 0.171 0.723
Sm2 0.171 0.723 0.171
Sm3 0.277 0.829 0.829
Sm4 0.723 0.171 0.171
Sm5 0.829 0.277 0.829
Sm6 0.829 0.829 0.277

The formation energy comes out at 0.392 eV per atom. The crystal system is trigonal. The total energy comes out at -4.37 eV per atom. For the density of states at the Fermi level, the calculation gives 1.643 states/eV/atom. The value obtained for the energy above the most stable polymorph in this dataset is 5.10 eV per formula unit.